VASP calculation (PBE-GGA) on a geometry-optimized Mg2Hg2W structure.

abc: 3.9365 3.9365 7.6540
angles: 75.10 75.10 90.00
Closest atoms and distances in Å follow each position.
Element x y z (fractional)
Hg: 0.2500 0.7500 0.5000  4 Hg 2.78, 4 Mg 2.98
Hg: 0.7500 0.2500 0.5000  4 Hg 2.78, 4 Mg 2.98
W: 0.0000 0.0000 0.0000  8 Mg 3.09
Mg: 0.4065 0.4065 0.1870  1 Mg 2.67, 4 Hg 2.98
Mg: 0.5935 0.5935 0.8130  1 Mg 2.67, 4 Hg 2.98

Summary:
The density of states at the Fermi level is 2.8 states/eV/cell. The formation energy is 843 meV/atom. For the theoretical density, the calculation gives 9.523 g cm⁻³. The raw total energy is -2.51 eV per atom. The energy above the most stable polymorph in this dataset comes out at 29.4 kJ per mole of atoms.



VASP calculation (PBE-GGA) on a geometry-optimized RbLiZrO3 structure.

abc: 3.3303 6.5525 8.5248
angles: 90.00 90.00 104.72
Closest atoms and distances in Å follow each position.
Element x y z (fractional)
O: 0.3956 0.7912 0.9580  1 Li 1.89
O: 0.9721 0.9443 0.2500  2 Li 1.95, 2 Zr 2.16
O: 0.6044 0.2088 0.4580  1 Li 1.89
O: 0.6044 0.2088 0.0420  1 Li 1.89
O: 0.3956 0.7912 0.5420  1 Li 1.89
O: 0.0279 0.0557 0.7500  2 Li 1.95, 2 Zr 2.16
Li: 0.4483 0.8966 0.7500  4 O 1.89-1.95
Li: 0.5517 0.1034 0.2500  4 O 1.89-1.95
Rb: 0.2729 0.5458 0.2500  8 O 2.94-3.24, 2 Li 3.26
Rb: 0.7271 0.4542 0.7500  8 O 2.94-3.24, 2 Li 3.26
Zr: 0.0000 0.0000 0.0000  6 O 2.16
Zr: 0.0000 0.0000 0.5000  6 O 2.16

Summary:
The density of states at the Fermi level is 0.0 states/eV/cell. For the theoretical density, the calculation gives 4.276 g cm⁻³. The raw total energy is -6.91 eV per atom. The raw formation energy comes out at -2.52 eV per atom.



VASP calculation (PBE-GGA) on a geometry-optimized ZnGe2Au structure.

abc: 2.9021 2.9021 10.5088
angles: 82.06 82.06 60.00
Closest atoms and distances in Å follow each position.
Element x y z (fractional)
Zn: 0.0000 0.0000 0.0000  2 Ge 2.74, 6 Zn 2.90
Au: 0.5000 0.5000 0.5000  6 Au 2.90, 6 Ge 2.96
Ge: 0.9119 0.9119 0.2642  1 Zn 2.74, 6 Ge 2.90, 3 Au 2.96
Ge: 0.0881 0.0881 0.7358  1 Zn 2.74, 6 Ge 2.90, 3 Au 2.96

Summary:
The density of states at the Fermi level is 1.1 states/eV/cell. The formation energy is 196 meV/atom. For the theoretical density, the calculation gives 8.946 g cm⁻³. The raw total energy is -3.25 eV per atom.



VASP calculation (PBE-GGA) on a geometry-optimized Li2TcBr structure.

abc: 6.4163 6.4163 6.4163
angles: 152.19 142.88 47.01
Closest atoms and distances in Å follow each position.
Element x y z (fractional)
Li: 0.9591 0.9591 0.0000  4 Tc 2.70, 2 Li 2.77
Li: 0.3004 0.8004 0.5000  4 Li 2.77-3.08, 4 Br 2.78
Tc: 0.5317 0.5317 0.0000  2 Br 2.59, 4 Li 2.70
Br: 0.7088 0.2088 0.5000  2 Tc 2.59, 4 Li 2.78

Summary:
The density of states at the Fermi level is 2.2 states/eV/cell. For the theoretical density, the calculation gives 4.297 g cm⁻³. The raw total energy is -3.68 eV per atom. The raw formation energy comes out at 0.29 eV per atom. The energy above the most stable polymorph in this dataset comes out at 20.0 kJ per mole of atoms.



> The lowest raw total energy belongs to which entry?

RbLiZrO3



Please write out number 1 again, unchanged.
VASP calculation (PBE-GGA) on a geometry-optimized Mg2Hg2W structure.

abc: 3.9365 3.9365 7.6540
angles: 75.10 75.10 90.00
Closest atoms and distances in Å follow each position.
Element x y z (fractional)
Hg: 0.2500 0.7500 0.5000  4 Hg 2.78, 4 Mg 2.98
Hg: 0.7500 0.2500 0.5000  4 Hg 2.78, 4 Mg 2.98
W: 0.0000 0.0000 0.0000  8 Mg 3.09
Mg: 0.4065 0.4065 0.1870  1 Mg 2.67, 4 Hg 2.98
Mg: 0.5935 0.5935 0.8130  1 Mg 2.67, 4 Hg 2.98

Summary:
The density of states at the Fermi level is 2.8 states/eV/cell. The formation energy is 843 meV/atom. For the theoretical density, the calculation gives 9.523 g cm⁻³. The raw total energy is -2.51 eV per atom. The energy above the most stable polymorph in this dataset comes out at 29.4 kJ per mole of atoms.